# 1
VASP calculation (PBE) on an optimized crystal structure of NdTcO5.

extended XYZ file:
```
14
Lattice="5.411 0.000 0.000 -2.706 3.333 -0.845 0.000 2.403 9.452" Properties=species:S:1:pos:R:3 pbc="T T T"
Nd 0.000 0.000 0.000
Nd 0.000 1.201 4.726
Tc 3.031 0.601 2.363
Tc 2.380 1.802 7.089
O 3.590 1.471 0.829
O 3.588 2.097 3.299
O 1.821 2.672 5.555
O 1.275 0.601 2.363
O 0.882 2.437 0.582
O 1.823 3.298 8.026
O 4.136 1.802 7.089
O 0.884 3.063 3.052
O -0.882 3.638 5.308
O -0.884 4.265 7.779
```

Total moment   0.00 μB/f.u.
Total DFT energy (no corrections)   -0.281 Ha/atom
Space group   Cmcm (63)
Uncorrected formation energy   -1.932 eV per atom

# 2
VASP calculation (PBE) on an optimized crystal structure of Nd2Tc2O7.

extended XYZ file:
```
22
Lattice="-1.815 0.101 7.226 -6.228 -3.367 2.324 0.427 -6.249 4.036" Properties=species:S:1:pos:R:3 pbc="T T T"
Nd -3.853 -5.997 4.878
Nd -1.647 -4.264 7.329
Nd -4.974 -2.822 6.473
Nd -4.761 -5.947 8.491
Tc -1.860 -1.139 5.311
Tc -4.066 -2.873 2.860
Tc -0.739 -4.314 3.716
Tc -0.952 -1.189 1.698
O -6.288 -3.884 8.407
O -1.329 -5.631 5.179
O -2.392 -5.572 9.409
O -5.225 -3.943 4.177
O -4.975 -7.602 6.540
O -2.642 -1.913 7.047
O -3.660 -1.760 4.540
O -0.148 -2.997 2.254
O -0.901 -2.955 5.249
O -2.907 -1.802 1.544
O -2.730 -4.393 3.217
O -1.078 -0.365 3.576
O -3.808 -4.758 6.793
O -5.713 -7.136 10.190
```

Total moment   6.01 μB/f.u.
Total DFT energy (no corrections)   -0.302 Ha/atom
Space group   Fd-3m (227)
DOS at the Fermi energy   0.141 states/eV per atom
Uncorrected formation energy   -2.298 eV per atom

# 3
VASP calculation (PBE) on an optimized crystal structure of Nd2TcO6.

extended XYZ file:
```
9
Lattice="3.868 0.000 -0.151 0.000 5.445 0.000 -1.720 -2.722 5.545" Properties=species:S:1:pos:R:3 pbc="T T T"
Nd 2.005 2.722 1.740
Nd 0.143 0.000 3.653
Tc 0.000 0.000 0.000
O 0.061 1.279 1.571
O 2.086 -1.443 3.823
O 2.086 1.443 3.823
O 1.934 1.125 -0.075
O 0.061 4.166 1.571
O 0.214 1.598 5.469
```

Total moment   0.98 μB/f.u.
Total DFT energy (no corrections)   -0.285 Ha/atom
Space group   Immm (71)
DOS at the Fermi energy   0.406 states/eV per atom
Uncorrected formation energy   -2.237 eV per atom

Results for volume: 181.5, 292.5, 115.4 (in Å³/cell, following the order of the records).